Computed, not measured: a relaxed AcPrZn2Pd5 crystal at the PBE-GGA level of DFT.

The value obtained for the energy relative to the elements is -558 kJ/mol of formula units.

The space group is P4/mmm (No. 123) and the conventional cell measures 4.302, 4.302 and 9.558 Å, with angles of 90.00, 90.00 and 90.00 degrees. The asymmetric unit holds Ac at (0.000, 0.000, 0.000), Pr at (0.000, 0.000, 0.500), Zn at (0.500, 0.500, 0.370), Pd at (0.000, 0.500, 0.231) and Pd at (0.500, 0.500, 0.000).